[1]
A plane-wave DFT calculation with GGA-PBE was carried out for a relaxed structure of ScBeNiPd.

```
ScBeNiPd
1.0
0.000 3.027 3.027
3.027 0.000 3.027
3.027 3.027 0.000
Sc Be Ni Pd
1 1 1 1
direct
0.000 0.000 0.000 Sc
0.500 0.500 0.500 Be
0.750 0.750 0.750 Ni
0.250 0.250 0.250 Pd
```

Properties
SG = No. 216
ΔH_f (0 K) = -445 meV/atom
volume = 13.87 Å³ per atom
final energy = -5.70 eV per atom

[2]
A plane-wave DFT calculation with GGA-PBE was carried out for a relaxed structure of RbMgF2.

```
RbMgF2
1.0
1.994 1.151 6.996
-1.994 1.151 6.996
0.000 -2.303 6.996
Rb Mg F
1 1 2
direct
0.000 0.000 0.000 Rb
0.500 0.500 0.500 Mg
0.410 0.410 0.410 F
0.590 0.590 0.590 F
```

Properties
SG = No. 166
volume = 24.10 Å³ per atom
final energy = -3.98 eV per atom

[3]
A plane-wave DFT calculation with GGA-PBE was carried out for a relaxed structure of NbAl2Hg.

```
NbAl2Hg
1.0
-3.642 3.642 2.910
3.642 -3.642 2.910
3.642 3.642 -2.910
Nb Al Hg
2 4 2
direct
0.000 0.000 0.000 Nb
0.750 0.250 0.500 Nb
0.137 0.625 0.012 Al
0.375 0.387 0.512 Al
0.613 0.125 0.988 Al
0.875 0.863 0.488 Al
0.250 0.750 0.500 Hg
0.500 0.500 0.000 Hg
```

Properties
SG = No. 122
ΔH_f (0 K) = 322 meV/atom
volume = 19.30 Å³ per atom
final energy = -4.14 eV per atom